(1)
AlSi2Cl | PBE | optimized geometry

Calculated values
- Distance to the lowest polymorph of the same formula: 0.000 eV per atom
- Raw formation energy: -0.4040 eV/atom
- Magnetization: 0.000 Bohr magnetons per cell
- Raw total energy: -4.513 eV per atom

a = 3.759 Å, b = 4.133 Å, c = 12.966 Å
α = 90.00°, β = 98.31°, γ = 90.00°
Atoms (fractional coordinates):
Al: 0.872 0.750 0.242
Al: 0.128 0.250 0.758
Si: 0.525 0.750 0.550
Si: 0.475 0.250 0.450
Si: 0.920 0.250 0.340
Si: 0.080 0.750 0.660
Cl: 0.315 0.750 0.128
Cl: 0.685 0.250 0.872


(2)
AlSiCl4 | PBE | optimized geometry

Calculated values
- Raw formation energy: 0.7025 eV/atom
- Magnetization: 1.033 Bohr magnetons per cell
- Raw total energy: -2.056 eV per atom

a = 5.906 Å, b = 5.906 Å, c = 5.906 Å
α = 60.00°, β = 60.00°, γ = 60.00°
Atoms (fractional coordinates):
Si: 0.750 0.750 0.750
Cl: 0.375 0.375 0.375
Cl: 0.875 0.375 0.375
Cl: 0.375 0.875 0.375
Cl: 0.375 0.375 0.875
Al: 0.000 0.000 0.000


(3)
Ta2AlSiCl | PBE | optimized geometry

Calculated values
- Raw formation energy: 1.1708 eV/atom
- Magnetization: 0.000 Bohr magnetons per cell
- Raw total energy: -5.773 eV per atom

a = 4.545 Å, b = 4.431 Å, c = 4.545 Å
α = 90.00°, β = 90.00°, γ = 90.00°
Atoms (fractional coordinates):
Ta: 0.500 0.000 0.000
Ta: 0.000 0.000 0.500
Si: 0.500 0.500 0.500
Al: 0.000 0.500 0.000
Cl: 0.000 0.000 0.000


(4)
Sm4AlCl5 | PBE | optimized geometry

Calculated values
- Raw formation energy: -1.5591 eV/atom
- Magnetization: 0.000 Bohr magnetons per cell
- Raw total energy: -4.744 eV per atom

a = 3.941 Å, b = 8.587 Å, c = 9.358 Å
α = 103.35°, β = 102.16°, γ = 90.00°
Atoms (fractional coordinates):
Al: 0.500 0.000 0.000
Cl: 0.834 0.675 0.667
Cl: 0.827 0.143 0.654
Cl: 0.166 0.325 0.333
Cl: 0.500 0.500 0.000
Cl: 0.173 0.857 0.346
Sm: 0.342 0.910 0.685
Sm: 0.001 0.244 0.002
Sm: 0.658 0.090 0.315
Sm: 0.999 0.756 0.998


(5)
Al3SnCl | PBE | optimized geometry

Calculated values
- Distance to the lowest polymorph of the same formula: 0.000 eV per atom
- Raw formation energy: 0.5192 eV/atom
- Magnetization: 0.000 Bohr magnetons per cell
- Raw total energy: -2.896 eV per atom

a = 4.996 Å, b = 4.996 Å, c = 4.996 Å
α = 90.00°, β = 90.00°, γ = 90.00°
Atoms (fractional coordinates):
Al: 0.500 0.000 0.000
Al: 0.000 0.000 0.500
Al: 0.000 0.500 0.000
Cl: 0.000 0.000 0.000
Sn: 0.500 0.500 0.500


(6)
Al2SnCl8 | PBE | optimized geometry

Calculated values
- Distance to the lowest polymorph of the same formula: 0.011 eV per atom
- Raw formation energy: -1.3926 eV/atom
- Magnetization: 0.000 Bohr magnetons per cell
- Raw total energy: -3.780 eV per atom

a = 6.456 Å, b = 8.056 Å, c = 8.056 Å
α = 69.16°, β = 97.70°, γ = 97.70°
Atoms (fractional coordinates):
Al: 0.659 0.196 0.196
Al: 0.341 0.804 0.804
Cl: 0.243 0.074 0.701
Cl: 0.757 0.299 0.926
Cl: 0.210 0.648 0.648
Cl: 0.790 0.352 0.352
Cl: 0.317 0.182 0.182
Cl: 0.757 0.926 0.299
Cl: 0.243 0.701 0.074
Cl: 0.683 0.818 0.818
Sn: 0.000 0.000 0.000


Please write out number 1 again, unchanged.
AlSi2Cl | PBE | optimized geometry

Calculated values
- Distance to the lowest polymorph of the same formula: 0.000 eV per atom
- Raw formation energy: -0.4040 eV/atom
- Magnetization: 0.000 Bohr magnetons per cell
- Raw total energy: -4.513 eV per atom

a = 3.759 Å, b = 4.133 Å, c = 12.966 Å
α = 90.00°, β = 98.31°, γ = 90.00°
Atoms (fractional coordinates):
Al: 0.872 0.750 0.242
Al: 0.128 0.250 0.758
Si: 0.525 0.750 0.550
Si: 0.475 0.250 0.450
Si: 0.920 0.250 0.340
Si: 0.080 0.750 0.660
Cl: 0.315 0.750 0.128
Cl: 0.685 0.250 0.872